The following is a DFT calculation (SCAN) of a PBEsol-optimized structure of LaAl2Os.

Results
The final energy comes out at -130.5 eV per cell. The total magnetization is 0.0 Bohr magnetons per cell. For the volume, the calculation gives 18.58 Å³ per atom. The calculation puts the calculated formation energy at 0.00 eV/atom.

```
data_LaAl2Os
_cell_length_a 4.720
_cell_length_b 4.720
_cell_length_c 4.720
_cell_angle_alpha 60.00
_cell_angle_beta 60.00
_cell_angle_gamma 60.00
_symmetry_space_group_name_H-M 'P 1'
_symmetry_Int_Tables_number 1
loop_
_symmetry_equiv_pos_as_xyz
'x,y,z'
loop_
_atom_site_label
_atom_site_fract_x
_atom_site_fract_y
_atom_site_fract_z
Os1 0.250 0.250 0.250
Al1 0.000 0.000 0.000
Al2 0.750 0.750 0.750
La1 0.500 0.500 0.500
```

***

The following is a DFT calculation (SCAN) of a PBEsol-optimized structure of MnCo.

Results
The final energy comes out at -105.1 eV per cell. The total magnetization is 0.0 Bohr magnetons per cell. For the volume, the calculation gives 9.99 Å³ per atom. The calculation puts the calculated formation energy at 0.26 eV/atom.

```
data_MnCo
_cell_length_a 2.421
_cell_length_b 4.590
_cell_length_c 5.759
_cell_angle_alpha 103.45
_cell_angle_beta 90.00
_cell_angle_gamma 105.29
_symmetry_space_group_name_H-M 'P 1'
_symmetry_Int_Tables_number 1
loop_
_symmetry_equiv_pos_as_xyz
'x,y,z'
loop_
_atom_site_label
_atom_site_fract_x
_atom_site_fract_y
_atom_site_fract_z
Mn1 0.667 0.334 0.331
Mn2 0.053 0.107 0.612
Mn3 0.724 0.448 0.946
Co1 0.003 0.005 0.001
Co2 0.389 0.777 0.279
Co3 0.331 0.662 0.665
```

***

The following is a DFT calculation (SCAN) of a PBEsol-optimized structure of MgTi2Pt2.

Results
The final energy comes out at -179.7 eV per cell. The total magnetization is 1.7 Bohr magnetons per cell. For the volume, the calculation gives 18.36 Å³ per atom. The calculation puts the calculated formation energy at -0.45 eV/atom.

```
data_MgTi2Pt2
_cell_length_a 3.864
_cell_length_b 3.864
_cell_length_c 6.729
_cell_angle_alpha 106.68
_cell_angle_beta 106.68
_cell_angle_gamma 90.00
_symmetry_space_group_name_H-M 'P 1'
_symmetry_Int_Tables_number 1
loop_
_symmetry_equiv_pos_as_xyz
'x,y,z'
loop_
_atom_site_label
_atom_site_fract_x
_atom_site_fract_y
_atom_site_fract_z
Mg1 0.000 0.000 0.000
Pt1 0.250 0.750 0.500
Pt2 0.750 0.250 0.500
Ti1 0.387 0.387 0.774
Ti2 0.613 0.613 0.226
```

***

The following is a DFT calculation (SCAN) of a PBEsol-optimized structure of AlFe2H2.

Results
The final energy comes out at -99.2 eV per cell. The total magnetization is 5.9 Bohr magnetons per cell. For the volume, the calculation gives 8.17 Å³ per atom. For the distance to the lowest polymorph of the same formula, the calculation gives 0.3255 eV per atom.

```
data_AlFe2H2
_cell_length_a 2.763
_cell_length_b 5.438
_cell_length_c 5.438
_cell_angle_alpha 90.00
_cell_angle_beta 90.00
_cell_angle_gamma 90.00
_symmetry_space_group_name_H-M 'P 1'
_symmetry_Int_Tables_number 1
loop_
_symmetry_equiv_pos_as_xyz
'x,y,z'
loop_
_atom_site_label
_atom_site_fract_x
_atom_site_fract_y
_atom_site_fract_z
H1 0.000 0.261 0.761
H2 0.000 0.761 0.739
H3 0.000 0.739 0.239
H4 0.000 0.239 0.261
Fe1 0.500 0.146 0.646
Fe2 0.500 0.646 0.854
Fe3 0.500 0.854 0.354
Fe4 0.500 0.354 0.146
Al1 0.000 0.000 0.000
Al2 0.000 0.500 0.500
```

***

The following is a DFT calculation (SCAN) of a PBEsol-optimized structure of V5Fe5Si6.

Results
The final energy comes out at -245.5 eV per cell. The total magnetization is 8.4 Bohr magnetons per cell. For the volume, the calculation gives 11.60 Å³ per atom. The uncorrected formation energy comes out at -10.48 kcal/mol of atoms.

```
data_V5Fe5Si6
_cell_length_a 4.665
_cell_length_b 6.739
_cell_length_c 6.739
_cell_angle_alpha 118.84
_cell_angle_beta 90.00
_cell_angle_gamma 90.00
_symmetry_space_group_name_H-M 'P 1'
_symmetry_Int_Tables_number 1
loop_
_symmetry_equiv_pos_as_xyz
'x,y,z'
loop_
_atom_site_label
_atom_site_fract_x
_atom_site_fract_y
_atom_site_fract_z
V1 0.000 0.770 0.991
V2 0.000 0.991 0.770
V3 0.500 0.763 0.763
V4 0.500 0.218 0.004
V5 0.500 0.004 0.218
Fe1 0.750 0.335 0.674
Fe2 0.750 0.674 0.335
Fe3 0.250 0.674 0.335
Fe4 0.250 0.335 0.674
Fe5 0.000 0.241 0.241
Si1 0.000 0.581 0.581
Si2 0.000 0.403 0.009
Si3 0.000 0.009 0.403
Si4 0.500 0.411 0.411
Si5 0.500 0.590 0.002
Si6 0.500 0.002 0.590
```

***

The following is a DFT calculation (SCAN) of a PBEsol-optimized structure of Sc2TaCd.

Results
The final energy comes out at -125.2 eV per cell. The total magnetization is 0.0 Bohr magnetons per cell. For the volume, the calculation gives 19.88 Å³ per atom. The calculation puts the calculated formation energy at 0.08 eV/atom.

```
data_Sc2TaCd
_cell_length_a 4.189
_cell_length_b 4.357
_cell_length_c 4.357
_cell_angle_alpha 90.00
_cell_angle_beta 90.00
_cell_angle_gamma 90.00
_symmetry_space_group_name_H-M 'P 1'
_symmetry_Int_Tables_number 1
loop_
_symmetry_equiv_pos_as_xyz
'x,y,z'
loop_
_atom_site_label
_atom_site_fract_x
_atom_site_fract_y
_atom_site_fract_z
Cd1 0.500 0.000 0.000
Sc1 0.000 0.000 0.500
Sc2 0.000 0.500 0.000
Ta1 0.500 0.500 0.500
```

***

The following is a DFT calculation (SCAN) of a PBEsol-optimized structure of BMo3As.

Results
The final energy comes out at -122.1 eV per cell. The total magnetization is 0.0 Bohr magnetons per cell. For the volume, the calculation gives 18.23 Å³ per atom. The calculation puts the calculated formation energy at 2.03 eV/atom.

```
data_BMo3As
_cell_length_a 4.501
_cell_length_b 4.501
_cell_length_c 4.501
_cell_angle_alpha 90.00
_cell_angle_beta 90.00
_cell_angle_gamma 90.00
_symmetry_space_group_name_H-M 'P 1'
_symmetry_Int_Tables_number 1
loop_
_symmetry_equiv_pos_as_xyz
'x,y,z'
loop_
_atom_site_label
_atom_site_fract_x
_atom_site_fract_y
_atom_site_fract_z
Mo1 0.000 0.500 0.000
Mo2 0.000 0.000 0.500
Mo3 0.500 0.000 0.000
B1 0.500 0.500 0.500
As1 0.000 0.000 0.000
```

***

The following is a DFT calculation (SCAN) of a PBEsol-optimized structure of ZnMoW.

Results
The final energy comes out at -117.5 eV per cell. The total magnetization is 0.0 Bohr magnetons per cell. For the volume, the calculation gives 14.94 Å³ per atom. For the distance to the lowest polymorph of the same formula, the calculation gives 0.0324 eV per atom. The calculation puts the calculated formation energy at 0.19 eV/atom.

```
data_ZnMoW
_cell_length_a 2.621
_cell_length_b 4.204
_cell_length_c 4.762
_cell_angle_alpha 116.20
_cell_angle_beta 105.97
_cell_angle_gamma 90.00
_symmetry_space_group_name_H-M 'P 1'
_symmetry_Int_Tables_number 1
loop_
_symmetry_equiv_pos_as_xyz
'x,y,z'
loop_
_atom_site_label
_atom_site_fract_x
_atom_site_fract_y
_atom_site_fract_z
Mo1 0.998 0.998 0.995
W1 0.669 0.669 0.339
Zn1 0.333 0.333 0.666
```

***

The following is a DFT calculation (SCAN) of a PBEsol-optimized structure of ScReHg2.

Results
The final energy comes out at -220.4 eV per cell. The total magnetization is 0.0 Bohr magnetons per cell. For the volume, the calculation gives 18.20 Å³ per atom. For the distance to the lowest polymorph of the same formula, the calculation gives 0.1321 eV per atom. The calculation puts the calculated formation energy at 0.31 eV/atom.

```
data_ScReHg2
_cell_length_a 4.687
_cell_length_b 4.687
_cell_length_c 4.687
_cell_angle_alpha 60.00
_cell_angle_beta 60.00
_cell_angle_gamma 60.00
_symmetry_space_group_name_H-M 'P 1'
_symmetry_Int_Tables_number 1
loop_
_symmetry_equiv_pos_as_xyz
'x,y,z'
loop_
_atom_site_label
_atom_site_fract_x
_atom_site_fract_y
_atom_site_fract_z
Hg1 0.250 0.250 0.250
Hg2 0.750 0.750 0.750
Re1 0.000 0.000 0.000
Sc1 0.500 0.500 0.500
```

***

The following is a DFT calculation (SCAN) of a PBEsol-optimized structure of TaFeOs2.

Results
The final energy comes out at -229.2 eV per cell. The total magnetization is 2.1 Bohr magnetons per cell. For the volume, the calculation gives 14.00 Å³ per atom. The calculation puts the calculated formation energy at -0.18 eV/atom.

```
data_TaFeOs2
_cell_length_a 3.793
_cell_length_b 3.843
_cell_length_c 3.843
_cell_angle_alpha 90.00
_cell_angle_beta 90.00
_cell_angle_gamma 90.00
_symmetry_space_group_name_H-M 'P 1'
_symmetry_Int_Tables_number 1
loop_
_symmetry_equiv_pos_as_xyz
'x,y,z'
loop_
_atom_site_label
_atom_site_fract_x
_atom_site_fract_y
_atom_site_fract_z
Os1 0.000 0.000 0.500
Os2 0.000 0.500 0.000
Fe1 0.500 0.000 0.000
Ta1 0.500 0.500 0.500
```

***

The following is a DFT calculation (SCAN) of a PBEsol-optimized structure of Be2GaCo2.

Results
The final energy comes out at -121.7 eV per cell. The total magnetization is 0.0 Bohr magnetons per cell. For the volume, the calculation gives 9.46 Å³ per atom. The calculation puts the calculated formation energy at -0.23 eV/atom.

```
data_Be2GaCo2
_cell_length_a 2.635
_cell_length_b 5.991
_cell_length_c 5.991
_cell_angle_alpha 90.00
_cell_angle_beta 90.00
_cell_angle_gamma 90.00
_symmetry_space_group_name_H-M 'P 1'
_symmetry_Int_Tables_number 1
loop_
_symmetry_equiv_pos_as_xyz
'x,y,z'
loop_
_atom_site_label
_atom_site_fract_x
_atom_site_fract_y
_atom_site_fract_z
Be1 0.000 0.378 0.878
Be2 0.000 0.878 0.622
Be3 0.000 0.622 0.122
Be4 0.000 0.122 0.378
Co1 0.500 0.170 0.670
Co2 0.500 0.670 0.830
Co3 0.500 0.830 0.330
Co4 0.500 0.330 0.170
Ga1 0.000 0.000 0.000
Ga2 0.000 0.500 0.500
```